DFT (PBE-GGA) results for crystalline TbCd2Hg6 at its relaxed geometry.

## Properties
ΔE to the lowest computed polymorph = 29 meV/atom
Formation energy from the elements = -10.4 kJ per mole of atoms

Cell: 5.759 8.835 6.276 Å, 134.73 98.46 90.00°
Sites, in units of the cell vectors:
Tb  0.000  0.000  0.000
Cd  0.662  0.658  0.316
Cd  0.338  0.342  0.684
Hg  0.165  0.497  0.334
Hg  0.835  0.163  0.666
Hg  0.835  0.503  0.666
Hg  0.500  0.171  0.000
Hg  0.165  0.837  0.334
Hg  0.500  0.829  0.000

=====

DFT (PBE-GGA) results for crystalline TaCo2Hg at its relaxed geometry.

## Properties
Formation energy from the elements = 26.6 kJ per mole of atoms

Cell: 4.442 4.442 5.138 Å, 78.61 78.61 38.80°
Last column: magnetic moment on the atom in μB.
Sites, in units of the cell vectors:
Co  0.991  0.991  0.049  0.87
Co  0.509  0.509  0.451  0.87
Hg  0.750  0.750  0.750  -0.01
Ta  0.250  0.250  0.250  -0.12

=====

DFT (PBE-GGA) results for crystalline TaGa2Ni at its relaxed geometry.

## Properties
Formation energy from the elements = 17.3 kJ per mole of atoms

Cell: 2.859 2.859 9.501 Å, 81.35 81.35 60.00°
Last column: magnetic moment on the atom in μB.
Sites, in units of the cell vectors:
Ni  0.000  0.000  0.000  0.09
Ga  0.084  0.084  0.749  0.00
Ga  0.916  0.916  0.251  0.00
Ta  0.500  0.500  0.500  0.00

=====

DFT (PBE-GGA) results for crystalline LaZrScSb2 at its relaxed geometry.

## Properties
Formation energy from raw total energies = 0.915 eV per atom

Cell: 5.883 5.233 5.883 Å, 90.00 90.00 90.00°
Last column: magnetic moment on the atom in μB.
Sites, in units of the cell vectors:
Sc  0.500  0.500  0.500  0.20
Sb  0.000  0.000  0.500  -0.02
Sb  0.500  0.000  0.000  -0.01
Zr  0.000  0.500  0.000  0.08
La  0.000  0.000  0.000  -0.01

=====

DFT (PBE-GGA) results for crystalline NaDyIn at its relaxed geometry.

## Properties
ΔE to the lowest computed polymorph = 39 meV/atom
Formation energy from the elements = -4.9 kJ per mole of atoms

Cell: 3.412 3.412 7.905 Å, 102.46 102.46 90.00°
Last column: magnetic moment on the atom in μB.
Sites, in units of the cell vectors:
Na  0.603  0.603  0.206  0.00
Dy  0.302  0.302  0.605  0.21
In  0.945  0.945  0.889  0.00

=====

DFT (PBE-GGA) results for crystalline EuCuN at its relaxed geometry.

## Properties
Formation energy from raw total energies = -0.159 eV per atom

Cell: 3.895 3.635 3.635 Å, 120.00 90.00 90.00°
Last column: magnetic moment on the atom in μB.
Sites, in units of the cell vectors:
Eu  0.689  0.667  0.333  6.82
Cu  0.179  0.333  0.667  -0.03
N  0.132  0.000  0.000  -0.09

=====

DFT (PBE-GGA) results for crystalline Cd8NiAu2 at its relaxed geometry.

## Properties
Formation energy from the elements = -6.7 kJ per mole of atoms

Cell: 4.666 6.983 8.044 Å, 115.73 106.86 90.00°
Sites, in units of the cell vectors:
Cd  0.362  0.593  0.725
Cd  0.637  0.867  0.274
Cd  0.827  0.828  0.654
Cd  0.000  0.264  0.001
Cd  0.173  0.172  0.346
Cd  0.363  0.133  0.726
Cd  0.638  0.407  0.275
Cd  0.000  0.736  0.999
Ni  0.500  0.000  0.000
Au  0.814  0.313  0.627
Au  0.186  0.687  0.373

=====

DFT (PBE-GGA) results for crystalline Tm2USe5 at its relaxed geometry.

## Properties
ΔE to the lowest computed polymorph = 249 meV/atom
Formation energy from raw total energies = -1.277 eV per atom

Cell: 5.570 5.478 8.105 Å, 79.94 69.91 59.45°
Last column: magnetic moment on the atom in μB.
Sites, in units of the cell vectors:
Tm  0.819  0.500  0.862  0.08
Tm  0.181  0.500  0.138  0.08
U  0.500  0.500  0.500  1.95
Se  0.179  0.830  0.812  -0.05
Se  0.491  0.830  0.188  -0.05
Se  0.000  0.500  0.500  -0.04
Se  0.821  0.170  0.188  -0.05
Se  0.509  0.170  0.812  -0.05